## NaIn3Pd6 (PBE-GGA)

Data for crystalline NaIn3Pd6 at its relaxed geometry.

Calculated values
Energy of formation from the pure elements: -0.35 eV/atom
Crystal system: orthorhombic

abc: 7.478 7.221 7.221
angles: 100.19 90.00 90.00
Sites, in units of the cell vectors:
Pd  0.133  0.777  0.643
Pd  0.293  0.078  0.423
Pd  0.633  0.223  0.357
Pd  0.731  0.029  0.971
Pd  0.633  0.643  0.777
Pd  0.133  0.357  0.223
Pd  0.293  0.577  0.922
Pd  0.793  0.423  0.078
Pd  0.793  0.922  0.577
Pd  0.231  0.971  0.029
Pd  0.111  0.729  0.271
Pd  0.611  0.271  0.729
In  0.351  0.462  0.538
In  0.947  0.062  0.291
In  0.947  0.709  0.938
In  0.447  0.938  0.709
In  0.447  0.291  0.062
In  0.851  0.538  0.462
Na  0.546  0.783  0.217
Na  0.046  0.217  0.783